No. 1
## MnSe2S (GGA-PBE)

Data for MnSe2S after structural relaxation.

Results
ΔE_f (raw)   0.59 eV/f.u.
ρ   5.14 g/cm3
Magnetic moment   0.0 μB per cell
Space group   No. 166

Cell: 7.6561 7.6561 7.6561 Å, 26.55 26.55 26.55°
Fractional coordinates of all 4 atoms:
Mn (0.0000, 0.0000, 0.0000)
Se (0.3928, 0.3928, 0.3928)
Se (0.6072, 0.6072, 0.6072)
S (0.5000, 0.5000, 0.5000)

No. 2
## PmSiRu (GGA-PBE)

Data for PmSiRu after structural relaxation.

Results
Relative energy among the computed polymorphs   0.000 eV/atom
ΔE_f (raw)   -2.37 eV/f.u.
ρ   7.45 g/cm3
Magnetic moment   0.0 μB per cell
Space group   No. 129

Cell: 4.2227 4.2227 6.8565 Å, 90.00 90.00 90.00°
Fractional coordinates of all 6 atoms:
Pm (0.2500, 0.2500, 0.1788)
Pm (0.7500, 0.7500, 0.8212)
Si (0.2500, 0.2500, 0.6778)
Si (0.7500, 0.7500, 0.3222)
Ru (0.2500, 0.7500, 0.5000)
Ru (0.7500, 0.2500, 0.5000)